Entry 1:
This record from Alexandria describes crystalline Al2SBr at its relaxed geometry. The functional is GGA-PBE.

abc: 4.820 4.820 4.820
angles: 60.00 60.00 60.00
Element x y z (fractional)
S1 0.000 0.000 0.000
Al1 0.250 0.250 0.250
Al2 0.750 0.750 0.750
Br1 0.500 0.500 0.500

Output
- N(E_F) (states/eV per cell) = 2.07
- symmetry = Fm-3m
- E (eV for the cell shown) = -13.06
- formation energy from raw total energies (meV/atom) = 57

***

Entry 2:
This record from Alexandria describes crystalline La3CoSn at its relaxed geometry. The functional is GGA-PBE.

abc: 5.907 7.121 7.165
angles: 76.38 80.98 92.61
Element x y z (fractional)
Sn1 0.642 0.162 0.247
Sn2 0.035 0.949 0.749
La1 0.646 0.655 0.140
La2 0.552 0.769 0.622
La3 0.049 0.451 0.833
La4 0.119 0.338 0.369
La5 0.120 0.882 0.248
La6 0.542 0.174 0.786
Co1 0.589 0.443 0.497
Co2 0.197 0.684 0.012

Output
- N(E_F) (states/eV per cell) = 3.12
- symmetry = P1
- E_form (kJ/mol of formula units) = -188
- E (eV for the cell shown) = -55.67

***

Entry 3:
This record from Alexandria describes crystalline Na2PaTa2Se6 at its relaxed geometry. The functional is GGA-PBE.

abc: 6.447 6.447 7.600
angles: 96.32 96.32 118.29
Site moments in Bohr magnetons follow the coordinates.
Element x y z (fractional)
Ta1 0.631 0.369 0.500  0.20
Ta2 0.369 0.631 0.500  0.20
Na1 0.174 0.826 0.000  0.00
Na2 0.826 0.174 0.000  0.00
Se1 0.415 0.052 0.707  0.00
Se2 0.052 0.415 0.707  0.00
Se3 0.723 0.723 0.747  -0.01
Se4 0.585 0.948 0.293  0.00
Se5 0.277 0.277 0.253  -0.01
Se6 0.948 0.585 0.293  0.00
Pa1 0.000 0.000 0.500  0.32

Output
- N(E_F) (states/eV per cell) = 3.77
- symmetry = C2/m
- E (eV for the cell shown) = -67.94
- formation energy from raw total energies (meV/atom) = -1017

***

- Number 2 is which compound?
  La3CoSn

***

Please write out number 2 again, unchanged.
This record from Alexandria describes crystalline La3CoSn at its relaxed geometry. The functional is GGA-PBE.

abc: 5.907 7.121 7.165
angles: 76.38 80.98 92.61
Element x y z (fractional)
Sn1 0.642 0.162 0.247
Sn2 0.035 0.949 0.749
La1 0.646 0.655 0.140
La2 0.552 0.769 0.622
La3 0.049 0.451 0.833
La4 0.119 0.338 0.369
La5 0.120 0.882 0.248
La6 0.542 0.174 0.786
Co1 0.589 0.443 0.497
Co2 0.197 0.684 0.012

Output
- N(E_F) (states/eV per cell) = 3.12
- symmetry = P1
- E_form (kJ/mol of formula units) = -188
- E (eV for the cell shown) = -55.67